Record 1
! NaLiInCl3, optimized geometry, DFT GGA-PBE; values from VASP
! - Raw formation energy: -1.45 eV/atom
! - Crystal system: monoclinic
! - Calculated density: 2.527 Mg/m³
&SYSTEM
  ibrav = 0, nat = 12, ntyp = 4
/
ATOMIC_SPECIES
In 114.82 In.upf
Cl 35.45 Cl.upf
Li 6.94 Li.upf
Na 22.99 Na.upf
CELL_PARAMETERS angstrom
-2.992 -1.264 2.609
-1.253 -7.147 -4.898
6.492 -2.558 6.205
ATOMIC_POSITIONS angstrom
In 1.918 -8.669 2.989
In 0.330 -2.299 0.928
Cl 1.041 -3.614 4.432
Cl 1.206 -7.354 -0.516
Cl 4.735 -3.396 5.448
Cl 3.997 -6.450 3.122
Cl -1.749 -4.518 0.795
Cl -2.488 -7.573 -1.531
Li 3.098 -2.486 4.012
Li -0.851 -8.482 -0.095
Na 2.870 -5.568 5.583
Na -0.622 -5.400 -1.666



Record 2
! Ac2AsRh, optimized geometry, DFT GGA-PBE; values from VASP
! - Crystal system: orthorhombic
! - Calculated density: 8.751 Mg/m³
! - ΔH_f (0 K): -0.984 eV/atom
! - ΔE to the lowest computed polymorph: 0 meV per atom
&SYSTEM
  ibrav = 0, nat = 8, ntyp = 3
/
ATOMIC_SPECIES
As 74.92 As.upf
Ac 227.00 Ac.upf
Rh 102.91 Rh.upf
CELL_PARAMETERS angstrom
4.514 0.000 0.000
0.000 4.258 -0.756
0.000 0.020 12.474
ATOMIC_POSITIONS angstrom
As 1.128 0.814 4.581
As 3.385 3.464 7.137
Ac 1.128 0.267 1.504
Ac 3.385 2.904 3.986
Ac 1.128 1.373 7.732
Ac 3.385 4.010 10.214
Rh 3.385 2.302 0.596
Rh 1.128 1.975 11.122



Record 3
! YCuSi2, optimized geometry, DFT GGA-PBE; values from VASP
! - Raw formation energy: 0.21 eV/atom
! - Crystal system: trigonal
! - Calculated density: 4.956 Mg/m³
&SYSTEM
  ibrav = 0, nat = 4, ntyp = 3
/
ATOMIC_SPECIES
Si 28.09 Si.upf
Cu 63.55 Cu.upf
Y 88.91 Y.upf
CELL_PARAMETERS angstrom
-6.880 -4.896 -2.991
-4.634 -6.901 -3.338
-6.007 -6.613 -0.652
ATOMIC_POSITIONS angstrom
Si -17.298 -18.176 -6.892
Si -8.984 -9.440 -3.580
Cu -4.380 -4.603 -1.745
Y -13.141 -13.808 -5.236



Record 4
! AcYH6Rh2, optimized geometry, DFT GGA-PBE; values from VASP
! - Crystal system: monoclinic
! - Calculated density: 7.487 Mg/m³
! - E: -102.26 eV per cell
&SYSTEM
  ibrav = 0, nat = 20, ntyp = 4
/
ATOMIC_SPECIES
Y 88.91 Y.upf
H 1.01 H.upf
Rh 102.91 Rh.upf
Ac 227.00 Ac.upf
CELL_PARAMETERS angstrom
6.242 -0.253 -0.056
-1.016 6.164 -0.056
-1.568 -1.773 6.159
ATOMIC_POSITIONS angstrom
Y 2.911 1.902 1.483
Y 0.747 2.235 4.563
H 3.669 3.716 2.833
H 1.607 0.260 5.372
H 0.846 2.514 2.292
H 2.813 1.624 3.754
H 2.051 3.877 0.674
H 2.879 -0.273 2.289
H -0.011 0.422 3.213
H 2.455 3.210 5.913
H -1.407 1.938 5.368
H 1.204 0.928 0.133
H 0.779 4.410 3.758
H 5.066 2.200 0.678
Rh -0.470 1.454 1.940
Rh 4.129 2.683 4.106
Rh 0.717 -1.175 5.020
Rh 2.941 5.313 1.027
Ac -0.316 4.755 1.483
Ac 3.974 -0.618 4.563



Record 5
! TmSc2InN, optimized geometry, DFT GGA-PBE; values from VASP
! - Raw formation energy: -1.08 eV/atom
! - Crystal system: tetragonal
! - Calculated density: 6.754 Mg/m³
&SYSTEM
  ibrav = 0, nat = 5, ntyp = 4
/
ATOMIC_SPECIES
Sc 44.96 Sc.upf
N 14.01 N.upf
Tm 168.93 Tm.upf
In 114.82 In.upf
CELL_PARAMETERS angstrom
-4.400 -0.229 -1.607
-0.115 -4.407 0.943
-1.556 0.924 4.129
ATOMIC_POSITIONS angstrom
Sc -0.057 -2.203 0.471
Sc -0.778 0.462 2.065
N 0.000 0.000 0.000
Tm -2.200 -0.115 -0.803
In -3.035 -1.856 1.733



Record 6
! RbZr2Os, optimized geometry, DFT GGA-PBE; values from VASP
! - Crystal system: cubic
! - Calculated density: 8.839 Mg/m³
! - ΔH_f (0 K): 0.866 eV/atom
! - ΔE to the lowest computed polymorph: 0 meV per atom
&SYSTEM
  ibrav = 0, nat = 4, ntyp = 3
/
ATOMIC_SPECIES
Zr 91.22 Zr.upf
Rb 85.47 Rb.upf
Os 190.23 Os.upf
CELL_PARAMETERS angstrom
0.000 3.504 3.504
3.504 0.000 3.504
3.504 3.504 0.000
ATOMIC_POSITIONS angstrom
Zr 1.752 1.752 1.752
Zr 5.257 5.257 5.257
Rb 0.000 0.000 0.000
Os 3.504 3.504 3.504